(1)
## Dy6Tl5Bi (GGA-PBE)

Data for a geometry-optimized Dy6Tl5Bi structure.

It has space group C2/m (No. 12), with a = 9.341 Å, b = 16.182 Å, c = 5.369 Å, α = 90.00°, β = 125.01° and γ = 90.00°. The distinct sites, in fractional coordinates, are Dy at (0.249, 0.000, 0.250), Dy at (0.249, 0.166, 0.749), Tl at (0.000, 0.172, 0.000), Tl at (0.000, 0.335, 0.500), Tl at (0.000, 0.500, 0.000) and Bi at (0.000, 0.000, 0.500).

The total moment is 0.00 μB per atom. The calculation puts the energy relative to the lowest polymorph listed for this composition at 15 kJ/mol of formula units.

(2)
## KCu2Ag (GGA-PBE)

Data for a geometry-optimized KCu2Ag structure.

It has space group Pm (No. 6), with a = 3.005 Å, b = 3.445 Å, c = 7.837 Å, α = 90.00°, β = 90.23° and γ = 90.00°. The distinct sites, in fractional coordinates, are K at (0.000, 0.000, 0.000), Cu at (0.497, 0.500, 0.320), Cu at (0.998, 0.000, 0.453) and Ag at (0.500, 0.500, 0.658).

The total moment is 0.00 μB per atom. The calculation puts the energy relative to the lowest polymorph listed for this composition at 0 kJ/mol of formula units.

(3)
## Al2CdPtCl (GGA-PBE)

Data for a geometry-optimized Al2CdPtCl structure.

It has space group P4/mmm (No. 123), with a = 4.813 Å, b = 4.813 Å, c = 5.384 Å, α = 90.00°, β = 90.00° and γ = 90.00°. The distinct sites, in fractional coordinates, are Al at (0.000, 0.500, 0.000), Cd at (0.000, 0.000, 0.500), Pt at (0.500, 0.500, 0.000) and Cl at (0.500, 0.500, 0.500).

The total moment is 0.00 μB per atom. Its uncorrected formation energy is -0.08 eV/atom. The calculation puts the energy relative to the lowest polymorph listed for this composition at 0 kJ/mol of formula units.

(4)
## HoScH2 (GGA-PBE)

Data for a geometry-optimized HoScH2 structure.

It has space group R3m (No. 160, hexagonal axes), with a = 3.3355 Å, b = 3.3355 Å, c = 16.8270 Å, α = 90.00°, β = 90.00° and γ = 120.00°. The distinct sites, in fractional coordinates, are Ho at (0.0000, 0.0000, 0.0000), Sc at (0.0000, 0.0000, 0.1804), H at (0.0000, 0.0000, 0.5786) and H at (0.0000, 0.0000, 0.7783).

The total moment is 0.00 μB per atom. The calculation puts the energy relative to the lowest polymorph listed for this composition at 79 kJ/mol of formula units.

(5)
## Li2ZnGa (GGA-PBE)

Data for a geometry-optimized Li2ZnGa structure.

It has space group Fm-3m (No. 225), with a = 6.218 Å, b = 6.218 Å, c = 6.218 Å, α = 90.00°, β = 90.00° and γ = 90.00°. The distinct sites, in fractional coordinates, are Li at (0.250, 0.250, 0.250), Zn at (0.000, 0.000, 0.000) and Ga at (0.000, 0.000, 0.500).

The total moment is 0.00 μB per atom. The value obtained for the electronic total energy is -0.165 Ry per atom.

(6)
## LiNpGeAu (GGA-PBE)

Data for a geometry-optimized LiNpGeAu structure.

It has space group F-43m (No. 216), with a = 6.858 Å, b = 6.858 Å, c = 6.858 Å, α = 90.00°, β = 90.00° and γ = 90.00°. The distinct sites, in fractional coordinates, are Li at (0.000, 0.000, 0.000), Np at (0.000, 0.000, 0.500), Ge at (0.250, 0.250, 0.250) and Au at (0.250, 0.250, 0.750).

The total moment is 0.94 μB per atom. The value obtained for the electronic total energy is -0.433 Ry per atom.

(7)
## NaHfSc (GGA-PBE)

Data for a geometry-optimized NaHfSc structure.

It has space group C2/m (No. 12), with a = 15.935 Å, b = 3.169 Å, c = 6.358 Å, α = 90.00°, β = 101.50° and γ = 90.00°. The distinct sites, in fractional coordinates, are Na at (0.000, 0.000, 0.244), Hf at (0.187, 0.500, 0.090) and Sc at (0.181, 0.500, 0.595).

The total moment is 0.00 μB per atom. The calculation puts the energy relative to the lowest polymorph listed for this composition at 23 kJ/mol of formula units.

(8)
## TcIr2C (GGA-PBE)

Data for a geometry-optimized TcIr2C structure.

It has space group I-42d (No. 122), with a = 5.085 Å, b = 5.085 Å, c = 10.046 Å, α = 90.00°, β = 90.00° and γ = 90.00°. The distinct sites, in fractional coordinates, are Tc at (0.000, 0.000, 0.000), Ir at (0.177, 0.250, 0.625) and C at (0.000, 0.000, 0.500).

The total moment is 0.00 μB per atom. The value obtained for the electronic total energy is -0.631 Ry per atom.

(9)
## HfCd2AgGe (GGA-PBE)

Data for a geometry-optimized HfCd2AgGe structure.

It has space group P4/mmm (No. 123), with a = 4.982 Å, b = 4.982 Å, c = 5.099 Å, α = 90.00°, β = 90.00° and γ = 90.00°. The distinct sites, in fractional coordinates, are Hf at (0.000, 0.000, 0.000), Cd at (0.000, 0.500, 0.500), Ag at (0.500, 0.500, 0.000) and Ge at (0.000, 0.000, 0.500).

The total moment is 0.00 μB per atom. The value obtained for the electronic total energy is -0.243 Ry per atom.

(10)
## LiCd2SiOs (GGA-PBE)

Data for a geometry-optimized LiCd2SiOs structure.

It has space group P4/mmm (No. 123), with a = 4.502 Å, b = 4.502 Å, c = 4.305 Å, α = 90.00°, β = 90.00° and γ = 90.00°. The distinct sites, in fractional coordinates, are Li at (0.000, 0.000, 0.000), Cd at (0.000, 0.500, 0.000), Si at (0.000, 0.000, 0.500) and Os at (0.500, 0.500, 0.500).

The total moment is 0.17 μB per atom. Its uncorrected formation energy is 1.16 eV/atom.

(11)
## Y2HgAuO5 (GGA-PBE)

Data for a geometry-optimized Y2HgAuO5 structure.

It has space group P4/mbm (No. 127), with a = 6.708 Å, b = 6.708 Å, c = 5.821 Å, α = 90.00°, β = 90.00° and γ = 90.00°. The distinct sites, in fractional coordinates, are Y at (0.175, 0.325, 0.000), Hg at (0.000, 0.000, 0.500), Au at (0.000, 0.500, 0.500), O at (0.000, 0.000, 0.000) and O at (0.132, 0.632, 0.228).

The total moment is 0.00 μB per atom. Its uncorrected formation energy is -1.85 eV/atom.

(12)
## ZnCuF2 (GGA-PBE)

Data for a geometry-optimized ZnCuF2 structure.

It has space group R-3m (No. 166, hexagonal axes), with a = 2.9186 Å, b = 2.9186 Å, c = 21.2264 Å, α = 90.00°, β = 90.00° and γ = 120.00°. The distinct sites, in fractional coordinates, are Zn at (0.0000, 0.0000, 0.0000), Cu at (0.0000, 0.0000, 0.5000) and F at (0.0000, 0.0000, 0.4120).

The total moment is 0.00 μB per atom. Its uncorrected formation energy is -1.14 eV/atom. The calculation puts the energy relative to the lowest polymorph listed for this composition at 0 kJ/mol of formula units.

(13)
## Na2MgRuCl (GGA-PBE)

Data for a geometry-optimized Na2MgRuCl structure.

It has space group P4/mmm (No. 123), with a = 5.744 Å, b = 5.744 Å, c = 4.394 Å, α = 90.00°, β = 90.00° and γ = 90.00°. The distinct sites, in fractional coordinates, are Na at (0.000, 0.500, 0.000), Mg at (0.000, 0.000, 0.500), Ru at (0.500, 0.500, 0.000) and Cl at (0.500, 0.500, 0.500).

The total moment is 0.00 μB per atom. Its uncorrected formation energy is 0.35 eV/atom.

(14)
## Pm7PBr12 (GGA-PBE)

Data for a geometry-optimized Pm7PBr12 structure.

It has space group R-3 (No. 148, hexagonal axes), with a = 15.1078 Å, b = 15.1078 Å, c = 10.1478 Å, α = 90.00°, β = 90.00° and γ = 120.00°. The distinct sites, in fractional coordinates, are Pm at (0.0000, 0.0000, 0.0000), Pm at (0.0450, 0.8798, 0.3493), P at (0.0000, 0.0000, 0.5000), Br at (0.0235, 0.4372, 0.1636) and Br at (0.0489, 0.8699, 0.8380).

The total moment is 0.00 μB per atom. Its uncorrected formation energy is -1.75 eV/atom.

(15)
## Cs2RbNa (GGA-PBE)

Data for a geometry-optimized Cs2RbNa structure.

It has space group R-3m (No. 166, hexagonal axes), with a = 4.9756 Å, b = 4.9756 Å, c = 51.2821 Å, α = 90.00°, β = 90.00° and γ = 120.00°. The distinct sites, in fractional coordinates, are Cs at (0.0000, 0.0000, 0.0810), Rb at (0.0000, 0.0000, 0.5000) and Na at (0.0000, 0.0000, 0.0000).

The total moment is 0.00 μB per atom. The calculation puts the energy relative to the lowest polymorph listed for this composition at 44 kJ/mol of formula units.

(16)
## K2TeH2 (GGA-PBE)

Data for a geometry-optimized K2TeH2 structure.

It has space group P4/mbm (No. 127), with a = 8.142 Å, b = 8.142 Å, c = 3.384 Å, α = 90.00°, β = 90.00° and γ = 90.00°. The distinct sites, in fractional coordinates, are K at (0.157, 0.343, 0.000), Te at (0.000, 0.000, 0.500) and H at (0.134, 0.634, 0.500).

The total moment is 0.00 μB per atom. The calculation puts the energy relative to the lowest polymorph listed for this composition at 302 kJ/mol of formula units.

(17)
## RbLiOs2 (GGA-PBE)

Data for a geometry-optimized RbLiOs2 structure.

It has space group Fm-3m (No. 225), with a = 6.603 Å, b = 6.603 Å, c = 6.603 Å, α = 90.00°, β = 90.00° and γ = 90.00°. The distinct sites, in fractional coordinates, are Rb at (0.000, 0.000, 0.000), Li at (0.000, 0.000, 0.500) and Os at (0.250, 0.250, 0.250).

The total moment is 0.58 μB per atom. The calculation puts the energy relative to the lowest polymorph listed for this composition at 409 kJ/mol of formula units.

(18)
## MnHgOs (GGA-PBE)

Data for a geometry-optimized MnHgOs structure.

It has space group P3m1 (No. 156), with a = 2.7926 Å, b = 2.7926 Å, c = 6.8956 Å, α = 90.00°, β = 90.00° and γ = 120.00°. The distinct sites, in fractional coordinates, are Mn at (0.0000, 0.0000, 0.0000), Hg at (0.3333, 0.6667, 0.6533) and Os at (0.6667, 0.3333, 0.2737).

The total moment is 0.28 μB per atom. The calculation puts the energy relative to the lowest polymorph listed for this composition at 27 kJ/mol of formula units.

(19)
## YTeH2 (GGA-PBE)

Data for a geometry-optimized YTeH2 structure.

It has space group I4_1/amd (No. 141, origin choice 2), with a = 4.556 Å, b = 4.556 Å, c = 13.513 Å, α = 90.00°, β = 90.00° and γ = 90.00°. The distinct sites, in fractional coordinates, are Y at (0.000, 0.250, 0.375), Te at (0.000, 0.250, 0.875) and H at (0.000, 0.000, 0.500).

The total moment is 0.00 μB per atom. The calculation puts the energy relative to the lowest polymorph listed for this composition at 0 kJ/mol of formula units.

(20)
## TbSm3Ho (GGA-PBE)

Data for a geometry-optimized TbSm3Ho structure.

It has space group P2_1/m (No. 11), with a = 6.312 Å, b = 5.757 Å, c = 9.650 Å, α = 90.00°, β = 109.07° and γ = 90.00°. The distinct sites, in fractional coordinates, are Tb at (0.135, 0.250, 0.100), Sm at (0.067, 0.750, 0.299), Sm at (0.333, 0.250, 0.500), Sm at (0.467, 0.750, 0.100) and Ho at (0.265, 0.750, 0.701).

The total moment is 0.00 μB per atom. The calculation puts the energy relative to the lowest polymorph listed for this composition at 0 kJ/mol of formula units.

(21)
## PrNd2Si (GGA-PBE)

Data for a geometry-optimized PrNd2Si structure.

It has space group R-3m (No. 166, hexagonal axes), with a = 3.7541 Å, b = 3.7541 Å, c = 33.2637 Å, α = 90.00°, β = 90.00° and γ = 120.00°. The distinct sites, in fractional coordinates, are Pr at (0.0000, 0.0000, 0.0000), Nd at (0.0000, 0.0000, 0.1088) and Si at (0.0000, 0.0000, 0.5000).

The total moment is 0.00 μB per atom. Its uncorrected formation energy is 0.01 eV/atom. The calculation puts the energy relative to the lowest polymorph listed for this composition at 141 kJ/mol of formula units.

(22)
## LiRuCl4 (GGA-PBE)

Data for a geometry-optimized LiRuCl4 structure.

It has space group I-4 (No. 82), with a = 6.850 Å, b = 6.850 Å, c = 7.502 Å, α = 90.00°, β = 90.00° and γ = 90.00°. The distinct sites, in fractional coordinates, are Li at (0.000, 0.000, 0.000), Ru at (0.000, 0.500, 0.750) and Cl at (0.176, 0.780, 0.803).

The total moment is 0.50 μB per atom. Its uncorrected formation energy is -0.72 eV/atom. The calculation puts the energy relative to the lowest polymorph listed for this composition at 116 kJ/mol of formula units.

(23)
## Mg2Nb2Zn (GGA-PBE)

Data for a geometry-optimized Mg2Nb2Zn structure.

It has space group I4/mmm (No. 139), with a = 3.827 Å, b = 3.827 Å, c = 13.921 Å, α = 90.00°, β = 90.00° and γ = 90.00°. The distinct sites, in fractional coordinates, are Mg at (0.000, 0.500, 0.250), Nb at (0.000, 0.000, 0.081) and Zn at (0.000, 0.000, 0.500).

The total moment is 0.00 μB per atom. The calculation puts the energy relative to the lowest polymorph listed for this composition at 56 kJ/mol of formula units.

(24)
## VCuS4 (GGA-PBE)

Data for a geometry-optimized VCuS4 structure.

It has space group Imma (No. 74), with a = 5.969 Å, b = 7.213 Å, c = 10.610 Å, α = 90.00°, β = 90.00° and γ = 90.00°. The distinct sites, in fractional coordinates, are V at (0.250, 0.250, 0.250), Cu at (0.000, 0.250, 0.609), S at (0.000, 0.015, 0.284) and S at (0.173, 0.250, 0.026).

The total moment is 0.03 μB per atom. Its uncorrected formation energy is -0.32 eV/atom. The calculation puts the energy relative to the lowest polymorph listed for this composition at 0 kJ/mol of formula units.

(25)
## PmSmCoPd (GGA-PBE)

Data for a geometry-optimized PmSmCoPd structure.

It has space group F-43m (No. 216), with a = 7.027 Å, b = 7.027 Å, c = 7.027 Å, α = 90.00°, β = 90.00° and γ = 90.00°. The distinct sites, in fractional coordinates, are Pm at (0.000, 0.000, 0.000), Sm at (0.000, 0.000, 0.500), Co at (0.250, 0.250, 0.750) and Pd at (0.250, 0.250, 0.250).

The total moment is 0.08 μB per atom. The value obtained for the electronic total energy is -0.427 Ry per atom.

(26)
## NdTlPb2 (GGA-PBE)

Data for a geometry-optimized NdTlPb2 structure.

It has space group P4/mmm (No. 123), with a = 4.850 Å, b = 4.850 Å, c = 4.992 Å, α = 90.00°, β = 90.00° and γ = 90.00°. The distinct sites, in fractional coordinates, are Nd at (0.000, 0.000, 0.000), Tl at (0.500, 0.500, 0.000) and Pb at (0.000, 0.500, 0.500).

The total moment is 0.00 μB per atom. The value obtained for the electronic total energy is -0.294 Ry per atom.